First-principles (PBE-GGA) data for Tb2Pm4C after structural relaxation, as listed in Alexandria.

total magnetic moment = 0.00 μB/f.u.
calculated density = 6.79 g/cm3
E = -5.16 eV/atom
DOS(E_F) = 18.5 states/eV/cell

Lattice parameters (Å, degrees): 5.0206 5.0206 17.6595 90.00 90.00 90.00
Closest atoms and distances in Å follow each position.
Space group I4/mmm (No. 139)
Unique sites:
Tb (0.0000, 0.0000, 0.1709) (multiplicity 4)  5 Pm 3.37-3.60
Pm (0.0000, 0.0000, 0.3619) (multiplicity 4)  1 C 2.44
Pm (0.0000, 0.5000, 0.0000) (multiplicity 4)  2 C 2.51
C (0.0000, 0.0000, 0.5000) (multiplicity 2)  6 Pm 2.44-2.51

First-principles (PBE-GGA) data for Hf5AlIn2 after structural relaxation, as listed in Alexandria.

total magnetic moment = 0.00 μB/f.u.
calculated density = 11.30 g/cm3
E = -7.58 eV/atom
DOS(E_F) = 15.0 states/eV/cell

Lattice parameters (Å, degrees): 4.3262 4.3262 18.0386 90.00 90.00 90.00
Closest atoms and distances in Å follow each position.
Space group I4/mmm (No. 139)
Unique sites:
Hf (0.0000, 0.0000, 0.0000) (multiplicity 2)  8 Hf 3.05, 4 Al 3.06
Hf (0.0000, 0.5000, 0.1194) (multiplicity 8)  6 Hf 3.05-3.06, 2 Al 3.05, 4 In 3.20
Al (0.0000, 0.0000, 0.5000) (multiplicity 2)  12 Hf 3.05-3.06
In (0.0000, 0.0000, 0.2501) (multiplicity 4)  4 In 3.06, 8 Hf 3.20

First-principles (PBE-GGA) data for K2BaSiSe after structural relaxation, as listed in Alexandria.

formation energy from raw total energies = -316 meV/atom
total magnetic moment = 2.00 μB/f.u.
calculated density = 2.32 g/cm3
DOS(E_F) = 1.2 states/eV/cell

Lattice parameters (Å, degrees): 6.0507 6.0507 6.3145 90.00 90.00 90.00
Closest atoms and distances in Å follow each position.
Space group P4/mmm (No. 123)
Unique sites:
K (0.0000, 0.5000, 0.0000) (multiplicity 2)  2 Se 3.03
Ba (0.0000, 0.0000, 0.5000) (multiplicity 1)  2 Se 3.16
Si (0.5000, 0.5000, 0.5000) (multiplicity 1)  4 Ba 4.28, 8 K 4.37
Se (0.0000, 0.0000, 0.0000) (multiplicity 1)  4 K 3.03, 2 Ba 3.16

First-principles (PBE-GGA) data for LuHfGaRu after structural relaxation, as listed in Alexandria.

total magnetic moment = 0.00 μB/f.u.
calculated density = 11.56 g/cm3
E = -7.17 eV/atom
DOS(E_F) = 11.7 states/eV/cell

Lattice parameters (Å, degrees): 6.7032 6.7032 6.7032 90.00 90.00 90.00
Closest atoms and distances in Å follow each position.
Space group F-43m (No. 216)
Unique sites:
Lu (0.0000, 0.0000, 0.0000) (multiplicity 4)  4 Ru 2.90, 4 Ga 2.90
Hf (0.0000, 0.0000, 0.5000) (multiplicity 4)  4 Ru 2.90, 4 Ga 2.90
Ga (0.2500, 0.2500, 0.2500) (multiplicity 4)  4 Hf 2.90, 4 Lu 2.90
Ru (0.2500, 0.2500, 0.7500) (multiplicity 4)  4 Hf 2.90, 4 Lu 2.90